Crystalline Ac3ZrPb5 at its relaxed geometry, computed with PBE-GGA.

Computed properties:
crystal system: hexagonal
space-group type: P6_3/mcm
energy of formation from the pure elements: -442 meV/atom
total energy: -86.78 eV for the cell shown
volume: 586 Å³ per cell
D(E_F): 16.89 states/eV per cell
calculated density: 10.24 Mg/m³
magnetization: 0.000 μB per atom

Lattice parameters (Å, degrees): 6.730 10.029 10.029 120.00 90.00 90.00
Fractional coordinates of all 18 atoms:
Pb 0.250 0.260 0.000
Pb 0.750 0.260 0.260
Pb 0.250 0.000 0.260
Pb 0.250 0.740 0.740
Pb 0.500 0.667 0.333
Pb 0.750 0.000 0.740
Pb 0.000 0.333 0.667
Pb 0.000 0.667 0.333
Pb 0.750 0.740 0.000
Pb 0.500 0.333 0.667
Ac 0.750 0.386 0.000
Ac 0.750 0.000 0.386
Ac 0.750 0.614 0.614
Ac 0.250 0.386 0.386
Ac 0.250 0.000 0.614
Ac 0.250 0.614 0.000
Zr 0.000 0.000 0.000
Zr 0.500 0.000 0.000